[1]
Below is a relaxed structure of DyZr2S5, with properties calculated at the PBE level.

Geometry as POSCAR:
```
DyZr2S5
1.0
-3.427 -3.315 1.686
3.069 -5.033 3.934
-2.640 2.136 6.419
Zr S Dy
2 5 1
direct
0.814 0.500 0.871
0.186 0.500 0.129
0.551 0.737 0.161
0.000 0.500 0.500
0.212 0.737 0.839
0.449 0.263 0.839
0.788 0.263 0.161
0.500 0.500 0.500
```

Values from the calculation:
- uncorrected formation energy (meV/atom) = -1325
- Fermi-level density of states (states/eV per cell) = 2.1
- space group = Fmmm, No. 69



[2]
Below is a relaxed structure of Dy2Zr2S7, with properties calculated at the PBE level.

Geometry as POSCAR:
```
Dy2Zr2S7
1.0
3.799 0.000 0.000
1.900 8.047 -0.077
1.900 3.748 7.122
Zr S Dy
2 7 2
direct
0.000 0.784 0.216
0.500 0.339 0.661
0.819 0.060 0.302
0.396 0.710 0.498
0.500 0.010 0.990
0.181 0.698 0.940
0.871 0.421 0.837
0.129 0.163 0.579
0.604 0.502 0.290
0.731 0.852 0.685
0.269 0.315 0.148
```

Values from the calculation:
- uncorrected formation energy (meV/atom) = -1698
- Fermi-level density of states (states/eV per cell) = 0.9
- space group = Imm2, No. 44



[3]
Below is a relaxed structure of DyZr3S6, with properties calculated at the PBE level.

Geometry as POSCAR:
```
DyZr3S6
1.0
3.684 0.000 0.000
0.000 10.621 0.065
0.000 -3.488 10.315
S Zr Dy
12 6 2
direct
0.750 0.913 0.104
0.750 0.482 0.619
0.250 0.087 0.896
0.750 0.124 0.469
0.250 0.610 0.922
0.750 0.802 0.753
0.750 0.735 0.278
0.250 0.876 0.531
0.250 0.518 0.381
0.250 0.265 0.722
0.250 0.198 0.247
0.750 0.390 0.078
0.250 0.857 0.929
0.750 0.143 0.071
0.250 0.319 0.492
0.750 0.681 0.508
0.250 0.568 0.146
0.750 0.432 0.854
0.250 0.954 0.303
0.750 0.046 0.697
```

Values from the calculation:
- uncorrected formation energy (meV/atom) = -1644
- Fermi-level density of states (states/eV per cell) = 11.9
- space group = P2_1/m, No. 11



[4]
Below is a relaxed structure of Dy6ZrS8, with properties calculated at the PBE level.

Geometry as POSCAR:
```
Dy6ZrS8
1.0
-7.337 -0.567 -2.426
-4.639 -5.470 2.932
-5.809 1.975 4.732
Dy S Zr
6 8 1
direct
0.000 0.500 0.500
0.500 0.000 0.000
0.000 0.000 0.500
0.500 0.000 0.500
0.500 0.500 0.000
0.000 0.500 0.000
0.753 0.247 0.753
0.247 0.247 0.753
0.753 0.247 0.247
0.247 0.753 0.247
0.750 0.750 0.750
0.247 0.753 0.753
0.753 0.753 0.247
0.250 0.250 0.250
0.000 0.000 0.000
```

Values from the calculation:
- uncorrected formation energy (meV/atom) = -1970
- Fermi-level density of states (states/eV per cell) = 7.4
- space group = Fm-3m, No. 225



[5]
Below is a relaxed structure of Dy3Sb, with properties calculated at the PBE level.

Geometry as POSCAR:
```
Dy3Sb
1.0
4.775 0.000 0.000
0.000 4.776 0.000
0.000 0.000 4.777
Dy Sb
3 1
direct
0.500 0.500 0.917
0.000 0.000 0.917
0.500 0.000 0.417
0.000 0.500 0.417
```

Values from the calculation:
- uncorrected formation energy (meV/atom) = -479
- Fermi-level density of states (states/eV per cell) = 4.7
- space group = Pm-3m, No. 221



[6]
Below is a relaxed structure of DySb6, with properties calculated at the PBE level.

Geometry as POSCAR:
```
DySb6
1.0
7.212 0.000 0.000
-2.404 6.800 0.000
-2.404 -3.400 5.889
Sb Dy
6 1
direct
0.250 0.750 0.500
0.500 0.750 0.250
0.500 0.250 0.750
0.250 0.500 0.750
0.750 0.500 0.250
0.750 0.250 0.500
0.000 0.000 0.000
```

Values from the calculation:
- uncorrected formation energy (meV/atom) = 585
- Fermi-level density of states (states/eV per cell) = 9.6
- space group = Im-3m, No. 229



[7]
Below is a relaxed structure of DySb2, with properties calculated at the PBE level.

Geometry as POSCAR:
```
DySb2
1.0
4.008 0.002 -0.001
0.002 4.008 -0.001
-2.005 -2.005 4.971
Sb Dy
2 1
direct
0.846 0.846 0.692
0.154 0.154 0.308
0.500 0.500 0.000
```

Values from the calculation:
- uncorrected formation energy (meV/atom) = -643
- Fermi-level density of states (states/eV per cell) = 1.7
- space group = I4/mmm, No. 139



[8]
Below is a relaxed structure of DySb2, with properties calculated at the PBE level.

Geometry as POSCAR:
```
DySb2
1.0
-4.516 -1.810 -1.433
-0.412 -2.690 -4.280
-0.162 -8.624 2.430
Dy Sb
2 4
direct
0.934 0.934 0.199
0.066 0.066 0.801
0.344 0.344 0.969
0.656 0.656 0.031
0.813 0.813 0.560
0.187 0.187 0.440
```

Values from the calculation:
- uncorrected formation energy (meV/atom) = -336
- Fermi-level density of states (states/eV per cell) = 3.0
- space group = R-3m, No. 166



[9]
Below is a relaxed structure of Dy4Sb3, with properties calculated at the PBE level.

Geometry as POSCAR:
```
Dy4Sb3
1.0
-0.849 1.239 -7.816
-0.558 -7.791 1.527
-5.716 3.891 3.940
Sb Dy
6 8
direct
0.625 0.750 0.375
0.125 0.875 0.250
0.375 0.625 0.750
0.750 0.375 0.625
0.250 0.125 0.875
0.875 0.250 0.125
0.355 0.355 0.355
0.000 0.145 0.500
0.855 0.855 0.855
0.000 0.645 0.500
0.145 0.500 0.000
0.645 0.500 0.000
0.500 0.000 0.645
0.500 0.000 0.145
```

Values from the calculation:
- uncorrected formation energy (meV/atom) = -992
- Fermi-level density of states (states/eV per cell) = 14.2
- space group = I-43d, No. 220



[10]
Below is a relaxed structure of Dy3Sb, with properties calculated at the PBE level.

Geometry as POSCAR:
```
Dy3Sb
1.0
6.161 0.000 0.000
0.000 12.390 0.000
0.000 0.000 12.390
Sb Dy
8 24
direct
0.789 0.200 0.043
0.211 0.957 0.200
0.289 0.543 0.300
0.289 0.457 0.700
0.711 0.300 0.457
0.211 0.043 0.800
0.711 0.700 0.543
0.789 0.800 0.957
0.716 0.031 0.857
0.216 0.643 0.531
0.016 0.286 0.826
0.464 0.083 0.391
0.536 0.609 0.083
0.784 0.531 0.357
0.484 0.214 0.674
0.516 0.674 0.786
0.536 0.391 0.917
0.984 0.174 0.286
0.216 0.357 0.469
0.284 0.143 0.031
0.464 0.917 0.609
0.284 0.857 0.969
0.964 0.891 0.417
0.716 0.969 0.143
0.484 0.786 0.326
0.036 0.417 0.109
0.784 0.469 0.643
0.964 0.109 0.583
0.016 0.714 0.174
0.984 0.826 0.714
0.036 0.583 0.891
0.516 0.326 0.214
```

Values from the calculation:
- uncorrected formation energy (meV/atom) = -582
- Fermi-level density of states (states/eV per cell) = 45.0
- space group = P4_2/n, No. 86



[11]
Below is a relaxed structure of DySb3, with properties calculated at the PBE level.

Geometry as POSCAR:
```
DySb3
1.0
-0.844 5.277 -3.874
-5.043 -4.105 1.129
-1.516 3.123 4.585
Dy Sb
2 6
direct
0.667 0.333 0.250
0.333 0.667 0.750
0.650 0.825 0.250
0.350 0.175 0.750
0.175 0.825 0.250
0.825 0.650 0.750
0.175 0.350 0.250
0.825 0.175 0.750
```

Values from the calculation:
- uncorrected formation energy (meV/atom) = -397
- Fermi-level density of states (states/eV per cell) = 4.1
- space group = P6_3/mmc, No. 194



[12]
Below is a relaxed structure of DySb3, with properties calculated at the PBE level.

Geometry as POSCAR:
```
DySb3
1.0
4.002 0.000 0.000
0.000 5.554 0.000
-2.001 -2.777 4.995
Sb Dy
3 1
direct
0.726 0.054 0.453
0.274 0.601 0.547
0.500 0.486 0.000
0.000 0.025 0.000
```

Values from the calculation:
- uncorrected formation energy (meV/atom) = -415
- Fermi-level density of states (states/eV per cell) = 1.9
- space group = Imm2, No. 44